The following is a SCAN calculation of a PBEsol-optimized structure of SrCaGe, from Alexandria via LeMat-Bulk.

Unit cell a=4.9006 b=8.0093 c=9.0566 alpha=90.00 beta=90.00 gamma=90.00
Closest atoms and distances in Å follow each position.
Atoms (fractional coordinates):
Sr  0.7500  0.4785  0.1798  5 Ge 3.25-3.56, 2 Ca 3.58
Sr  0.7500  0.9785  0.3202  5 Ge 3.25-3.56, 2 Ca 3.58
Sr  0.2500  0.0215  0.6798  5 Ge 3.25-3.56, 2 Ca 3.58
Sr  0.2500  0.5215  0.8202  5 Ge 3.25-3.56, 2 Ca 3.58
Ca  0.2500  0.1489  0.0743  4 Ge 3.02-3.07
Ca  0.7500  0.8511  0.9257  4 Ge 3.02-3.07
Ca  0.2500  0.6489  0.4257  4 Ge 3.02-3.07
Ca  0.7500  0.3511  0.5743  4 Ge 3.02-3.07
Ge  0.2500  0.7667  0.1056  4 Ca 3.02-3.07, 1 Sr 3.25
Ge  0.7500  0.7333  0.6056  4 Ca 3.02-3.07, 1 Sr 3.25
Ge  0.7500  0.2333  0.8944  4 Ca 3.02-3.07, 1 Sr 3.25
Ge  0.2500  0.2667  0.3944  4 Ca 3.02-3.07, 1 Sr 3.25

Properties
E ... -53.0 eV/f.u.
Symmetry ... No. 62

The following is a SCAN calculation of a PBEsol-optimized structure of CaTc2Ge2, from Alexandria via LeMat-Bulk.

Unit cell a=4.0393 b=4.0393 c=6.1432 alpha=109.19 beta=109.19 gamma=90.00
Closest atoms and distances in Å follow each position.
Atoms (fractional coordinates):
Ge  0.3826  0.3826  0.7652  4 Tc 2.48, 1 Ge 2.55
Ge  0.6174  0.6174  0.2348  4 Tc 2.48, 1 Ge 2.55
Ca  0.0000  0.0000  0.0000  8 Ge 3.13, 8 Tc 3.39
Tc  0.2500  0.7500  0.5000  4 Ge 2.48
Tc  0.7500  0.2500  0.5000  4 Ge 2.48

Properties
E ... -119.7 eV/f.u.
Symmetry ... No. 139

The following is a SCAN calculation of a PBEsol-optimized structure of CaGe3W, from Alexandria via LeMat-Bulk.

Unit cell a=4.8680 b=4.8680 c=4.8680 alpha=90.00 beta=90.00 gamma=90.00
Closest atoms and distances in Å follow each position.
Atoms (fractional coordinates):
Ge  0.0000  0.5000  0.0000  2 W 2.43
Ge  0.0000  0.0000  0.5000  2 W 2.43
Ge  0.5000  0.0000  0.0000  2 W 2.43
Ca  0.5000  0.5000  0.5000  12 Ge 3.44
W  0.0000  0.0000  0.0000  6 Ge 2.43

Properties
E ... -136.3 eV/f.u.
Symmetry ... No. 221

The following is a SCAN calculation of a PBEsol-optimized structure of Ca3YGe, from Alexandria via LeMat-Bulk.

Unit cell a=5.7277 b=5.7277 c=5.7277 alpha=90.00 beta=90.00 gamma=90.00
Closest atoms and distances in Å follow each position.
Atoms (fractional coordinates):
Y  0.0000  0.0000  0.0000  6 Ca 2.86
Ge  0.5000  0.5000  0.5000  12 Ca 4.05
Ca  0.0000  0.5000  0.0000  2 Y 2.86
Ca  0.0000  0.0000  0.5000  2 Y 2.86
Ca  0.5000  0.0000  0.0000  2 Y 2.86

Properties
E ... -70.3 eV/f.u.
Symmetry ... No. 221

no.,energy relative to the elements (kJ/mol of formula units)
1,-194
2,-171
3,28
4,545